## NaMn2CoI (SCAN)

Data for NaMn2CoI at its PBEsol-relaxed geometry.

total DFT energy (no corrections) = -92.3 eV per formula unit
ΔE_f (raw) = 0.49 eV per atom

Unit cell a=4.4118 b=4.4118 c=5.5159 alpha=90.00 beta=90.00 gamma=90.00
Last column: nearest neighbours and their distance in Å.
Element x y z (fractional)
Na  0.0000  0.0000  0.0000  2 Co 2.76
Mn  0.0000  0.5000  0.5000  2 Co 2.21
Mn  0.5000  0.0000  0.5000  2 Co 2.21
Co  0.0000  0.0000  0.5000  4 Mn 2.21
I  0.5000  0.5000  0.0000  4 Na 3.12

---

## Li3V2Fe3O10 (SCAN)

Data for Li3V2Fe3O10 at its PBEsol-relaxed geometry.

total DFT energy (no corrections) = -196.4 eV per formula unit
ΔE_f (raw) = -2.09 eV per atom

Unit cell a=5.0294 b=5.0367 c=7.5975 alpha=108.93 beta=98.54 gamma=102.81
Last column: nearest neighbours and their distance in Å.
Element x y z (fractional)
Li  0.0000  0.0000  0.0000  4 O 1.95-2.04
Li  0.2778  0.6007  0.1058  6 O 2.00-2.24
Li  0.7222  0.3993  0.8942  6 O 2.00-2.24
V  0.4013  0.7636  0.8074  4 O 1.75-1.94
V  0.5987  0.2364  0.1926  4 O 1.75-1.94
Fe  0.1795  0.3721  0.4090  6 O 1.93-2.12
Fe  0.5000  0.0000  0.5000  4 O 1.88-1.92
Fe  0.8205  0.6279  0.5910  6 O 1.93-2.12
O  0.0594  0.6386  0.8400  1 V 1.78, 1 Li 1.95
O  0.1874  0.8019  0.5628  3 Fe 1.88-2.09, 1 V 2.09
O  0.3009  0.0117  0.2678  2 Fe 1.92-2.06, 1 V 1.94, 1 Li 2.00
O  0.3863  0.1926  0.9746  1 V 1.75
O  0.4541  0.4253  0.6588  1 V 1.81
O  0.5459  0.5747  0.3412  1 V 1.81
O  0.6137  0.8074  0.0254  1 V 1.75
O  0.6991  0.9883  0.7322  2 Fe 1.92-2.06, 1 V 1.94, 1 Li 2.00
O  0.8126  0.1981  0.4372  3 Fe 1.88-2.09, 1 V 2.09
O  0.9406  0.3614  0.1600  1 V 1.78, 1 Li 1.95

---

## Ac2CdSn (SCAN)

Data for Ac2CdSn at its PBEsol-relaxed geometry.

total DFT energy (no corrections) = -249.5 eV per formula unit

Unit cell a=8.0142 b=8.0142 c=8.0142 alpha=90.00 beta=90.00 gamma=90.00
Last column: nearest neighbours and their distance in Å.
Element x y z (fractional)
Ac  0.2500  0.2500  0.2500  4 Sn 3.47, 4 Cd 3.47
Ac  0.2500  0.2500  0.7500  4 Cd 3.47, 4 Sn 3.47
Ac  0.2500  0.7500  0.2500  4 Cd 3.47, 4 Sn 3.47
Ac  0.2500  0.7500  0.7500  4 Sn 3.47, 4 Cd 3.47
Ac  0.7500  0.2500  0.2500  4 Cd 3.47, 4 Sn 3.47
Ac  0.7500  0.2500  0.7500  4 Sn 3.47, 4 Cd 3.47
Ac  0.7500  0.7500  0.2500  4 Sn 3.47, 4 Cd 3.47
Ac  0.7500  0.7500  0.7500  4 Cd 3.47, 4 Sn 3.47
Cd  0.0000  0.0000  0.0000  8 Ac 3.47
Cd  0.0000  0.5000  0.5000  8 Ac 3.47
Cd  0.5000  0.0000  0.5000  8 Ac 3.47
Cd  0.5000  0.5000  0.0000  8 Ac 3.47
Sn  0.0000  0.0000  0.5000  8 Ac 3.47
Sn  0.0000  0.5000  0.0000  8 Ac 3.47
Sn  0.5000  0.0000  0.0000  8 Ac 3.47
Sn  0.5000  0.5000  0.5000  8 Ac 3.47

---

## Be2CoPt (SCAN)

Data for Be2CoPt at its PBEsol-relaxed geometry.

total DFT energy (no corrections) = -99.2 eV per formula unit
distance to the lowest polymorph of the same formula = 0.00 eV/f.u.

Unit cell a=5.3899 b=5.3899 c=5.3899 alpha=90.00 beta=90.00 gamma=90.00
Last column: nearest neighbours and their distance in Å.
Element x y z (fractional)
Be  0.2500  0.2500  0.2500  4 Co 2.33, 4 Pt 2.33
Be  0.2500  0.2500  0.7500  4 Co 2.33, 4 Pt 2.33
Be  0.2500  0.7500  0.2500  4 Co 2.33, 4 Pt 2.33
Be  0.2500  0.7500  0.7500  4 Co 2.33, 4 Pt 2.33
Be  0.7500  0.2500  0.2500  4 Co 2.33, 4 Pt 2.33
Be  0.7500  0.2500  0.7500  4 Co 2.33, 4 Pt 2.33
Be  0.7500  0.7500  0.2500  4 Co 2.33, 4 Pt 2.33
Be  0.7500  0.7500  0.7500  4 Co 2.33, 4 Pt 2.33
Co  0.0000  0.0000  0.0000  8 Be 2.33
Co  0.0000  0.5000  0.5000  8 Be 2.33
Co  0.5000  0.0000  0.5000  8 Be 2.33
Co  0.5000  0.5000  0.0000  8 Be 2.33
Pt  0.0000  0.0000  0.5000  8 Be 2.33
Pt  0.0000  0.5000  0.0000  8 Be 2.33
Pt  0.5000  0.0000  0.0000  8 Be 2.33
Pt  0.5000  0.5000  0.5000  8 Be 2.33

---

## Al2TcW (SCAN)

Data for Al2TcW at its PBEsol-relaxed geometry.

total DFT energy (no corrections) = -121.8 eV per formula unit
distance to the lowest polymorph of the same formula = 0.00 eV/f.u.

Unit cell a=3.1173 b=3.1173 c=5.9509 alpha=90.00 beta=90.00 gamma=90.00
Last column: nearest neighbours and their distance in Å.
Element x y z (fractional)
Al  0.0000  0.0000  0.0000  4 W 2.68, 4 Al 2.69, 1 Tc 2.95
Al  0.5000  0.5000  0.2596  4 Tc 2.61, 4 Al 2.69, 1 W 2.89
Tc  0.0000  0.0000  0.4956  4 Al 2.61, 4 W 2.66
W  0.5000  0.5000  0.7445  4 Tc 2.66, 5 Al 2.68-2.89

---

## CaZr2Tc (SCAN)

Data for CaZr2Tc at its PBEsol-relaxed geometry.

total DFT energy (no corrections) = -105.6 eV per formula unit
distance to the lowest polymorph of the same formula = 0.79 eV/f.u.

Unit cell a=3.3334 b=3.3334 c=7.9570 alpha=90.00 beta=90.00 gamma=90.00
Last column: nearest neighbours and their distance in Å.
Element x y z (fractional)
Ca  0.0000  0.0000  0.0000  4 Tc 3.10, 1 Zr 3.31, 4 Ca 3.33
Zr  0.0000  0.0000  0.4154  4 Tc 2.69
Zr  0.5000  0.5000  0.6525  8 Zr 3.02-3.33, 1 Tc 3.18
Tc  0.5000  0.5000  0.2526  4 Zr 2.69

---

## Cr5W (SCAN)

Data for Cr5W at its PBEsol-relaxed geometry.

total DFT energy (no corrections) = -161.3 eV per formula unit

Unit cell a=2.8892 b=12.1840 c=4.0798 alpha=90.00 beta=90.00 gamma=90.00
Last column: nearest neighbours and their distance in Å.
Element x y z (fractional)
Cr  0.0000  0.0000  0.0000  4 W 2.50, 4 Cr 2.52
Cr  0.0000  0.1722  0.5000  6 Cr 2.38-2.50, 2 W 2.55
Cr  0.0000  0.3303  0.0000  8 Cr 2.43-2.52
Cr  0.0000  0.6696  0.0000  8 Cr 2.43-2.52
Cr  0.0000  0.8278  0.5000  6 Cr 2.38-2.50, 2 W 2.55
Cr  0.5000  0.1696  0.0000  8 Cr 2.43-2.52
Cr  0.5000  0.3278  0.5000  6 Cr 2.38-2.50, 2 W 2.55
Cr  0.5000  0.5000  0.0000  4 W 2.50, 4 Cr 2.52
Cr  0.5000  0.6722  0.5000  6 Cr 2.38-2.50, 2 W 2.55
Cr  0.5000  0.8304  0.0000  8 Cr 2.43-2.52
W  0.0000  0.5000  0.5000  8 Cr 2.50-2.55
W  0.5000  0.0000  0.5000  8 Cr 2.50-2.55

---

## Ca2TeOsPt (SCAN)

Data for Ca2TeOsPt at its PBEsol-relaxed geometry.

total DFT energy (no corrections) = -196.4 eV per formula unit
ΔE_f (raw) = 0.45 eV per atom

Unit cell a=5.3543 b=5.3543 c=4.9258 alpha=90.00 beta=90.00 gamma=90.00
Last column: nearest neighbours and their distance in Å.
Element x y z (fractional)
Ca  0.0000  0.5000  0.0000  2 Pt 2.68
Ca  0.5000  0.0000  0.0000  2 Pt 2.68
Te  0.0000  0.0000  0.5000  2 Pt 2.46
Os  0.5000  0.5000  0.5000  8 Ca 3.64, 4 Te 3.79
Pt  0.0000  0.0000  0.0000  2 Te 2.46, 4 Ca 2.68

---

## KScBiPd2 (SCAN)

Data for KScBiPd2 at its PBEsol-relaxed geometry.

total DFT energy (no corrections) = -161.7 eV per formula unit

Unit cell a=4.7272 b=4.7272 c=5.8389 alpha=90.00 beta=90.00 gamma=90.00
Last column: nearest neighbours and their distance in Å.
Element x y z (fractional)
K  0.0000  0.0000  0.0000  4 Pd 2.36
Sc  0.5000  0.5000  0.5000  4 Bi 3.34
Bi  0.0000  0.0000  0.5000  2 K 2.92
Pd  0.0000  0.5000  0.0000  2 K 2.36
Pd  0.5000  0.0000  0.0000  2 K 2.36

---

## KTeBr (SCAN)

Data for KTeBr at its PBEsol-relaxed geometry.

total DFT energy (no corrections) = -66.6 eV per formula unit
ΔE_f (raw) = -0.50 eV per atom

Unit cell a=7.8007 b=7.8007 c=7.8007 alpha=90.00 beta=90.00 gamma=90.00
Last column: nearest neighbours and their distance in Å.
Element x y z (fractional)
K  0.0000  0.0000  0.0000  4 Br 3.38
K  0.0000  0.5000  0.5000  4 Br 3.38
K  0.5000  0.0000  0.5000  4 Br 3.38
K  0.5000  0.5000  0.0000  4 Br 3.38
Te  0.0000  0.0000  0.5000  4 Br 3.38
Te  0.0000  0.5000  0.0000  4 Br 3.38
Te  0.5000  0.0000  0.0000  4 Br 3.38
Te  0.5000  0.5000  0.5000  4 Br 3.38
Br  0.2500  0.2500  0.2500  4 K 3.38, 4 Te 3.38
Br  0.2500  0.7500  0.7500  4 K 3.38, 4 Te 3.38
Br  0.7500  0.2500  0.7500  4 K 3.38, 4 Te 3.38
Br  0.7500  0.7500  0.2500  4 K 3.38, 4 Te 3.38

---

## Zn5Cu3 (SCAN)

Data for Zn5Cu3 at its PBEsol-relaxed geometry.

total DFT energy (no corrections) = -113.8 eV per formula unit
distance to the lowest polymorph of the same formula = 0.02 eV/f.u.

Unit cell a=6.9583 b=7.6962 c=3.7742 alpha=90.00 beta=90.00 gamma=90.00
Last column: nearest neighbours and their distance in Å.
Element x y z (fractional)
Zn  0.0000  0.0000  0.0000  8 Zn 2.59-2.61, 4 Cu 2.68
Zn  0.2404  0.5000  0.5000  6 Cu 2.52-2.62, 6 Zn 2.61-2.70
Zn  0.2500  0.2500  0.0000  6 Cu 2.57-2.59, 6 Zn 2.59-2.70
Zn  0.2500  0.7500  0.0000  6 Cu 2.57-2.59, 6 Zn 2.59-2.70
Zn  0.2596  0.0000  0.5000  6 Cu 2.52-2.62, 6 Zn 2.61-2.70
Zn  0.5000  0.5000  0.0000  8 Zn 2.59-2.61, 4 Cu 2.68
Zn  0.7404  0.0000  0.5000  6 Cu 2.52-2.62, 6 Zn 2.61-2.70
Zn  0.7500  0.2500  0.0000  6 Cu 2.57-2.59, 6 Zn 2.59-2.70
Zn  0.7500  0.7500  0.0000  6 Cu 2.57-2.59, 6 Zn 2.59-2.70
Zn  0.7596  0.5000  0.5000  6 Cu 2.52-2.62, 6 Zn 2.61-2.70
Cu  0.0000  0.2473  0.5000  10 Zn 2.57-2.68, 2 Cu 2.71
Cu  0.0000  0.5000  0.0000  8 Zn 2.52-2.59, 4 Cu 2.71
Cu  0.0000  0.7527  0.5000  10 Zn 2.57-2.68, 2 Cu 2.71
Cu  0.5000  0.0000  0.0000  8 Zn 2.52-2.59, 4 Cu 2.71
Cu  0.5000  0.2527  0.5000  10 Zn 2.57-2.68, 2 Cu 2.71
Cu  0.5000  0.7473  0.5000  10 Zn 2.57-2.68, 2 Cu 2.71

---

## YTeRu3 (SCAN)

Data for YTeRu3 at its PBEsol-relaxed geometry.

total DFT energy (no corrections) = -166.3 eV per formula unit
ΔE_f (raw) = 0.65 eV per atom

Unit cell a=4.7305 b=4.7305 c=4.7305 alpha=90.00 beta=90.00 gamma=90.00
Last column: nearest neighbours and their distance in Å.
Element x y z (fractional)
Y  0.0000  0.0000  0.0000  12 Ru 3.34
Te  0.5000  0.5000  0.5000  6 Ru 2.37
Ru  0.0000  0.5000  0.5000  2 Te 2.37
Ru  0.5000  0.0000  0.5000  2 Te 2.37
Ru  0.5000  0.5000  0.0000  2 Te 2.37

---

## K2CuSbBr6 (SCAN)

Data for K2CuSbBr6 at its PBEsol-relaxed geometry.

total DFT energy (no corrections) = -196.4 eV per formula unit
ΔE_f (raw) = -1.05 eV per atom

Unit cell a=7.5631 b=7.5631 c=7.5631 alpha=60.00 beta=60.00 gamma=60.00
Last column: nearest neighbours and their distance in Å.
Element x y z (fractional)
K  0.2500  0.2500  0.2500  12 Br 3.78
K  0.7500  0.7500  0.7500  12 Br 3.78
Cu  0.0000  0.0000  0.0000  6 Br 2.56
Sb  0.5000  0.5000  0.5000  6 Br 2.78
Br  0.2398  0.2398  0.7602  1 Cu 2.56, 1 Sb 2.78
Br  0.2398  0.7602  0.2398  1 Cu 2.56, 1 Sb 2.78
Br  0.2398  0.7602  0.7602  1 Cu 2.56, 1 Sb 2.78
Br  0.7602  0.2398  0.2398  1 Cu 2.56, 1 Sb 2.78
Br  0.7602  0.2398  0.7602  1 Cu 2.56, 1 Sb 2.78
Br  0.7602  0.7602  0.2398  1 Cu 2.56, 1 Sb 2.78